Below is crystalline MgFe2Ir at its relaxed geometry, with properties calculated at the GGA-PBEsol level.

## Properties
For the size of the total moment, the calculation gives 4.94 μB/f.u. The volume comes out at 53 Å³ per cell. The density of states at the Fermi level is 5.6 states/eV per cell. For the total energy, the calculation gives -7.304 eV/atom. As for the energy of formation: 0.3 eV/f.u.

Cell: 2.9123 2.9123 6.3066 Å, 90.00 90.00 90.00°
Space group P4mm (No. 99)
Symmetry-distinct sites (fractional):
Mg 0.0000 0.0000 0.0000 [1 per cell]
Fe 0.0000 0.0000 0.4793 [1 per cell]
Fe 0.5000 0.5000 0.2847 [1 per cell]
Ir 0.5000 0.5000 0.7150 [1 per cell]

Below is crystalline Mg2FeIrO6 at its relaxed geometry, with properties calculated at the GGA-PBEsol level.

## Properties
As for the uncorrected formation energy: -1647 meV per atom. For the size of the total moment, the calculation gives 2.57 μB/f.u. The volume comes out at 189 Å³ per cell. The density of states at the Fermi level is 11.5 states/eV per cell. For the total energy, the calculation gives -7.019 eV/atom.

Cell: 4.9794 5.2049 8.8119 Å, 90.00 124.02 90.00°
Space group P2_1/c (No. 14)
Symmetry-distinct sites (fractional):
Mg 0.2313 0.0674 0.2484 [4 per cell]
Fe 0.0000 0.0000 0.5000 [2 per cell]
Ir 0.5000 0.0000 0.0000 [2 per cell]
O 0.1032 0.1963 0.9302 [4 per cell]
O 0.2411 0.6798 0.9311 [4 per cell]
O 0.3775 0.0614 0.7427 [4 per cell]

Below is crystalline MnFe2Ir at its relaxed geometry, with properties calculated at the GGA-PBEsol level.

## Properties
For the size of the total moment, the calculation gives 7.28 μB/f.u. The volume comes out at 48 Å³ per cell. The density of states at the Fermi level is 3.1 states/eV per cell. For the total energy, the calculation gives -9.341 eV/atom. As for the energy of formation: 0.1 eV/f.u.

Cell: 2.8346 2.8346 5.9286 Å, 90.00 90.00 90.00°
Space group P4mm (No. 99)
Symmetry-distinct sites (fractional):
Mn 0.0000 0.0000 0.0000 [1 per cell]
Fe 0.0000 0.0000 0.4598 [1 per cell]
Fe 0.5000 0.5000 0.2352 [1 per cell]
Ir 0.5000 0.5000 0.7365 [1 per cell]

Below is crystalline MnFe2Ir at its relaxed geometry, with properties calculated at the GGA-PBEsol level.

## Properties
For the size of the total moment, the calculation gives 7.83 μB/f.u. The volume comes out at 194 Å³ per cell. The density of states at the Fermi level is 14.7 states/eV per cell. For the total energy, the calculation gives -9.314 eV/atom. As for the energy of formation: 0.3 eV/f.u.

Cell: 5.7901 5.7901 5.7901 Å, 90.00 90.00 90.00°
Space group F-43m (No. 216)
Symmetry-distinct sites (fractional):
Mn 0.0000 0.0000 0.0000 [4 per cell]
Fe 0.0000 0.0000 0.5000 [4 per cell]
Fe 0.2500 0.2500 0.2500 [4 per cell]
Ir 0.2500 0.2500 0.7500 [4 per cell]

Below is crystalline Mn2FeIr at its relaxed geometry, with properties calculated at the GGA-PBEsol level.

## Properties
For the size of the total moment, the calculation gives 6.76 μB/f.u. The volume comes out at 96 Å³ per cell. The calculation puts the energy above the most stable polymorph in this dataset at 213 meV/atom. The density of states at the Fermi level is 10.7 states/eV per cell. For the total energy, the calculation gives -9.463 eV/atom. As for the energy of formation: 0.5 eV/f.u.

Cell: 2.8130 4.1358 8.2562 Å, 90.00 90.00 90.00°
Space group Imm2 (No. 44)
Symmetry-distinct sites (fractional):
Mn 0.0000 0.0000 0.0000 [2 per cell]
Mn 0.0000 0.5000 0.2557 [2 per cell]
Fe 0.0000 0.0000 0.5116 [2 per cell]
Ir 0.0000 0.5000 0.7545 [2 per cell]

Below is crystalline Mn2FeIr at its relaxed geometry, with properties calculated at the GGA-PBEsol level.

## Properties
For the size of the total moment, the calculation gives 6.89 μB/f.u. The volume comes out at 48 Å³ per cell. The calculation puts the energy above the most stable polymorph in this dataset at 151 meV/atom. The density of states at the Fermi level is 3.5 states/eV per cell. For the total energy, the calculation gives -9.525 eV/atom. As for the energy of formation: 0.2 eV/f.u.

Cell: 2.8479 2.8479 5.9133 Å, 90.00 90.00 90.00°
Space group P4/mmm (No. 123)
Symmetry-distinct sites (fractional):
Mn 0.0000 0.0000 0.2294 [2 per cell]
Fe 0.5000 0.5000 0.0000 [1 per cell]
Ir 0.5000 0.5000 0.5000 [1 per cell]

Below is crystalline Mn2FeIr at its relaxed geometry, with properties calculated at the GGA-PBEsol level.

## Properties
For the size of the total moment, the calculation gives 0.43 μB/f.u. The volume comes out at 93 Å³ per cell. The calculation puts the energy above the most stable polymorph in this dataset at 0 meV/atom. The density of states at the Fermi level is 6.4 states/eV per cell. For the total energy, the calculation gives -9.676 eV/atom. As for the energy of formation: -0.4 eV/f.u.

Cell: 3.5824 3.5824 7.2331 Å, 90.00 90.00 90.00°
Space group I-4m2 (No. 119)
Symmetry-distinct sites (fractional):
Mn 0.0000 0.0000 0.0000 [2 per cell]
Mn 0.0000 0.5000 0.2500 [2 per cell]
Fe 0.0000 0.0000 0.5000 [2 per cell]
Ir 0.0000 0.5000 0.7500 [2 per cell]

Below is crystalline Mn2FeIr at its relaxed geometry, with properties calculated at the GGA-PBEsol level.

## Properties
For the size of the total moment, the calculation gives 5.57 μB/f.u. The volume comes out at 96 Å³ per cell. The calculation puts the energy above the most stable polymorph in this dataset at 359 meV/atom. The density of states at the Fermi level is 14.3 states/eV per cell. For the total energy, the calculation gives -9.317 eV/atom. As for the energy of formation: 1.0 eV/f.u.

Cell: 2.7225 4.2938 8.2471 Å, 90.00 90.00 90.00°
Space group Cmm2 (No. 35)
Symmetry-distinct sites (fractional):
Mn 0.0000 0.0000 0.0000 [2 per cell]
Mn 0.0000 0.5000 0.2324 [2 per cell]
Fe 0.0000 0.0000 0.4716 [2 per cell]
Ir 0.0000 0.5000 0.7373 [2 per cell]

Below is crystalline FeMoIr2 at its relaxed geometry, with properties calculated at the GGA-PBEsol level.

## Properties
For the size of the total moment, the calculation gives 0.00 μB/f.u. The volume comes out at 53 Å³ per cell. The calculation puts the energy above the most stable polymorph in this dataset at 0 meV/atom. The density of states at the Fermi level is 3.2 states/eV per cell. For the total energy, the calculation gives -10.300 eV/atom. As for the energy of formation: -0.8 eV/f.u.

Cell: 3.7627 3.7627 3.7598 Å, 90.00 90.00 90.00°
Space group P4/mmm (No. 123)
Symmetry-distinct sites (fractional):
Fe 0.0000 0.0000 0.0000 [1 per cell]
Mo 0.5000 0.5000 0.0000 [1 per cell]
Ir 0.0000 0.5000 0.5000 [2 per cell]

Below is crystalline FeMoIr2 at its relaxed geometry, with properties calculated at the GGA-PBEsol level.

## Properties
For the size of the total moment, the calculation gives 2.10 μB/f.u. The volume comes out at 56 Å³ per cell. The calculation puts the energy above the most stable polymorph in this dataset at 370 meV/atom. The density of states at the Fermi level is 5.6 states/eV per cell. For the total energy, the calculation gives -9.929 eV/atom. As for the energy of formation: 0.7 eV/f.u.

Cell: 3.1814 3.1814 5.4878 Å, 90.00 90.00 90.00°
Space group P4mm (No. 99)
Symmetry-distinct sites (fractional):
Fe 0.0000 0.0000 0.0000 [1 per cell]
Mo 0.5000 0.5000 0.7444 [1 per cell]
Ir 0.0000 0.0000 0.4953 [1 per cell]
Ir 0.5000 0.5000 0.2085 [1 per cell]

Below is crystalline FeMoIr2 at its relaxed geometry, with properties calculated at the GGA-PBEsol level.

## Properties
For the size of the total moment, the calculation gives 2.34 μB/f.u. The volume comes out at 55 Å³ per cell. The calculation puts the energy above the most stable polymorph in this dataset at 13 meV/atom. The density of states at the Fermi level is 3.4 states/eV per cell. For the total energy, the calculation gives -10.287 eV/atom. As for the energy of formation: -0.8 eV/f.u.

Cell: 2.7085 3.7438 5.3867 Å, 90.00 90.00 90.00°
Space group Pmmm (No. 47)
Symmetry-distinct sites (fractional):
Fe 0.0000 0.0000 0.0000 [1 per cell]
Mo 0.0000 0.0000 0.5000 [1 per cell]
Ir 0.5000 0.5000 0.2418 [2 per cell]

Below is crystalline FeMoIr at its relaxed geometry, with properties calculated at the GGA-PBEsol level.

## Properties
For the size of the total moment, the calculation gives 2.91 μB/f.u. The volume comes out at 197 Å³ per cell. The density of states at the Fermi level is 21.0 states/eV per cell. For the total energy, the calculation gives -9.638 eV/atom. As for the energy of formation: 1.6 eV/f.u.

Cell: 5.8190 5.8190 5.8190 Å, 90.00 90.00 90.00°
Space group F-43m (No. 216)
Symmetry-distinct sites (fractional):
Fe 0.0000 0.0000 0.0000 [4 per cell]
Mo 0.0000 0.0000 0.5000 [4 per cell]
Ir 0.2500 0.2500 0.7500 [4 per cell]

Below is crystalline FeNiIrN2 at its relaxed geometry, with properties calculated at the GGA-PBEsol level.

## Properties
As for the uncorrected formation energy: 1636 meV per atom. For the size of the total moment, the calculation gives 4.73 μB/f.u. The volume comes out at 57 Å³ per cell. The density of states at the Fermi level is 4.7 states/eV per cell. For the total energy, the calculation gives -6.764 eV/atom.

Cell: 3.5591 3.5591 4.5326 Å, 90.00 90.00 90.00°
Space group P4/mmm (No. 123)
Symmetry-distinct sites (fractional):
Fe 0.0000 0.0000 0.0000 [1 per cell]
Ni 0.0000 0.0000 0.5000 [1 per cell]
Ir 0.5000 0.5000 0.0000 [1 per cell]
N 0.0000 0.5000 0.5000 [2 per cell]

Below is crystalline FeTe2IrN at its relaxed geometry, with properties calculated at the GGA-PBEsol level.

## Properties
As for the uncorrected formation energy: 700 meV per atom. For the size of the total moment, the calculation gives 3.28 μB/f.u. The volume comes out at 105 Å³ per cell. The density of states at the Fermi level is 7.3 states/eV per cell. For the total energy, the calculation gives -6.174 eV/atom.

Cell: 5.3873 5.3873 3.6097 Å, 90.00 90.00 90.00°
Space group P4/mmm (No. 123)
Symmetry-distinct sites (fractional):
Fe 0.0000 0.0000 0.0000 [1 per cell]
Te 0.0000 0.5000 0.5000 [2 per cell]
Ir 0.5000 0.5000 0.5000 [1 per cell]
N 0.5000 0.5000 0.0000 [1 per cell]